# YSe3O9 GGA-PBE relaxed
# Energy in eV per cell: -306.98
# Formation energy (no corrections) in kJ per mole of atoms: -113
data_YSe3O9
_space_group_name_H-M_alt 'C 1 c 1'
_space_group_IT_number 9
_cell_length_a 14.499
_cell_length_b 8.344
_cell_length_c 10.341
_cell_angle_alpha 90.00
_cell_angle_beta 126.97
_cell_angle_gamma 90.00
loop_
_space_group_symop_operation_xyz
'x,y,z'
'x,-y,z+1/2'
'x+1/2,y+1/2,z'
'x+1/2,-y+1/2,z+1/2'
loop_
_atom_site_label
_atom_site_fract_x
_atom_site_fract_y
_atom_site_fract_z
_atom_site_occupancy
Y1 0.000 0.237 0.000 1
Se1 0.139 0.121 0.799 1
Se2 0.241 0.472 0.748 1
Se3 0.342 0.042 0.639 1
O1 0.066 0.105 0.876 1
O2 0.123 0.059 0.209 1
O3 0.161 0.399 0.807 1
O4 0.168 0.369 0.131 1
O5 0.259 0.331 0.654 1
O6 0.288 0.115 0.967 1
O7 0.367 0.458 0.412 1
O8 0.416 0.088 0.293 1
O9 0.440 0.130 0.626 1